Entry 1:
{
  "formula": "TaAsIr2",
  "functional": "GGA-PBE",
  "state": "relaxed",
  "cell": [[-4.757, -0.586, 1.135], [-0.535, -2.127, 4.410], [2.625, 3.861, -1.566]],
  "species": ["As", "Ir", "Ir", "Ta"],
  "fractional_positions": [[0.750, 0.250, 0.500], [0.000, 0.000, 0.000], [0.250, 0.750, 0.500], [0.500, 0.500, 0.000]],
  "m_tot_mub_per_cell": 0.0,
  "delta_e_f_ev_per_atom": -0.108,
  "crystal_system": "tetragonal"
}

***

Entry 2:
{
  "formula": "Ta2AsIr",
  "functional": "GGA-PBE",
  "state": "relaxed",
  "cell": [[2.950, 0.000, 0.000], [0.000, 2.950, 0.000], [0.000, 0.000, 7.516]],
  "species": ["As", "Ir", "Ta", "Ta"],
  "fractional_positions": [[0.500, 0.500, 0.250], [0.500, 0.500, 0.750], [0.000, 0.000, 0.000], [0.000, 0.000, 0.500]],
  "m_tot_mub_per_cell": 0.0,
  "delta_e_f_ev_per_atom": -0.309,
  "crystal_system": "tetragonal"
}